# 1
The following is a DFT calculation (PBE-GGA) of Co2TcAsRh after structural relaxation.

Computed properties:
* V: 95.0 Å³/cell
* formation enthalpy at 0 K: 1.463 eV per atom
* D(E_F): 6.75 states/eV/f.u.

Cell: 4.521 4.521 4.649 Å, 90.00 90.00 90.00°
Sites, in units of the cell vectors:
Co1 0.000 0.500 0.000
Co2 0.500 0.000 0.000
Tc1 0.000 0.000 0.500
As1 0.500 0.500 0.500
Rh1 0.000 0.000 0.000


# 2
The following is a DFT calculation (PBE-GGA) of Th2Co3As4Rh after structural relaxation.

Computed properties:
* V: 169.6 Å³/cell
* formation enthalpy at 0 K: -0.846 eV per atom
* D(E_F): 4.87 states/eV/f.u.

Cell: 4.232 4.232 9.466 Å, 90.00 90.00 90.00°
Sites, in units of the cell vectors:
Th1 0.000 0.500 0.248
Th2 0.500 0.000 0.752
Co1 0.000 0.500 0.889
Co2 0.500 0.000 0.111
Co3 0.500 0.500 0.500
As1 0.000 0.000 0.000
As2 0.000 0.500 0.641
As3 0.500 0.000 0.359
As4 0.500 0.500 0.000
Rh1 0.000 0.000 0.500


# 3
The following is a DFT calculation (PBE-GGA) of Th2Co4As3Rh after structural relaxation.

Computed properties:
* V: 164.9 Å³/cell
* formation enthalpy at 0 K: -0.675 eV per atom
* D(E_F): 7.79 states/eV/f.u.

Cell: 4.111 4.111 9.762 Å, 90.00 90.00 90.00°
Sites, in units of the cell vectors:
Th1 0.000 0.500 0.243
Th2 0.500 0.000 0.757
Co1 0.000 0.000 0.000
Co2 0.000 0.500 0.630
Co3 0.500 0.000 0.370
Co4 0.500 0.500 0.000
As1 0.000 0.500 0.872
As2 0.500 0.000 0.128
As3 0.500 0.500 0.500
Rh1 0.000 0.000 0.500


# 4
The following is a DFT calculation (PBE-GGA) of Th2CoAs4Rh3 after structural relaxation.

Computed properties:
* V: 182.4 Å³/cell
* formation enthalpy at 0 K: -0.885 eV per atom
* D(E_F): 4.72 states/eV/f.u.

Cell: 4.316 4.316 9.790 Å, 90.00 90.00 90.00°
Sites, in units of the cell vectors:
Th1 0.000 0.500 0.246
Th2 0.500 0.000 0.754
Co1 0.500 0.500 0.000
As1 0.000 0.000 0.500
As2 0.000 0.500 0.871
As3 0.500 0.000 0.129
As4 0.500 0.500 0.500
Rh1 0.000 0.000 0.000
Rh2 0.000 0.500 0.621
Rh3 0.500 0.000 0.379


# 5
The following is a DFT calculation (PBE-GGA) of Th2CoAs3Rh4 after structural relaxation.

Computed properties:
* V: 180.6 Å³/cell
* formation enthalpy at 0 K: -0.822 eV per atom
* D(E_F): 8.13 states/eV/f.u.

Cell: 4.212 4.212 10.176 Å, 90.00 90.00 90.00°
Sites, in units of the cell vectors:
Th1 0.000 0.500 0.247
Th2 0.500 0.000 0.753
Co1 0.500 0.500 0.000
As1 0.000 0.000 0.000
As2 0.000 0.500 0.638
As3 0.500 0.000 0.362
Rh1 0.000 0.000 0.500
Rh2 0.000 0.500 0.876
Rh3 0.500 0.000 0.124
Rh4 0.500 0.500 0.500


# 6
The following is a DFT calculation (PBE-GGA) of UCoAs2Rh2 after structural relaxation.

Computed properties:
* V: 196.3 Å³/cell
* formation enthalpy at 0 K: -0.424 eV per atom
* D(E_F): 6.57 states/eV/f.u.

Cell: 3.823 7.305 7.026 Å, 90.00 90.00 90.00°
Sites, in units of the cell vectors:
U1 0.000 0.088 0.000
U2 0.000 0.912 0.500
Co1 0.500 0.124 0.676
Co2 0.500 0.876 0.176
As1 0.000 0.326 0.655
As2 0.000 0.674 0.155
As3 0.500 0.168 0.321
As4 0.500 0.832 0.821
Rh1 0.000 0.377 0.302
Rh2 0.000 0.623 0.802
Rh3 0.500 0.354 0.983
Rh4 0.500 0.646 0.483


# 7
The following is a DFT calculation (PBE-GGA) of VCoAs2Rh after structural relaxation.

Computed properties:
* V: 96.8 Å³/cell
* formation enthalpy at 0 K: 0.872 eV per atom
* D(E_F): 6.11 states/eV/f.u.

Cell: 4.628 4.628 4.519 Å, 90.00 90.00 90.00°
Sites, in units of the cell vectors:
V1 0.000 0.000 0.000
Co1 0.500 0.500 0.500
As1 0.000 0.500 0.000
As2 0.500 0.000 0.000
Rh1 0.000 0.000 0.500


# 8
The following is a DFT calculation (PBE-GGA) of CoAs2Ru4 after structural relaxation.

Computed properties:
* V: 242.3 Å³/cell
* formation enthalpy at 0 K: 0.952 eV per atom
* D(E_F): 9.78 states/eV/f.u.

Cell: 4.422 4.422 12.394 Å, 90.00 90.00 90.00°
Sites, in units of the cell vectors:
Co1 0.000 0.000 0.000
Co2 0.500 0.500 0.500
As1 0.000 0.000 0.383
As2 0.000 0.000 0.617
As3 0.500 0.500 0.117
As4 0.500 0.500 0.883
Ru1 0.000 0.000 0.194
Ru2 0.000 0.000 0.806
Ru3 0.000 0.500 0.000
Ru4 0.000 0.500 0.500
Ru5 0.500 0.000 0.000
Ru6 0.500 0.000 0.500
Ru7 0.500 0.500 0.306
Ru8 0.500 0.500 0.694